Crystalline Ce2YPuP4 at its relaxed geometry. Source: Alexandria, functional PBE-GGA.

The structure in CIF format:
```
data_Ce2YPuP4
_symmetry_space_group_name_H-M 'P 1'
_symmetry_Int_Tables_number 1
_cell_length_a 4.0537
_cell_length_b 7.0106
_cell_length_c 6.9977
_cell_angle_alpha 109.58
_cell_angle_beta 90.00
_cell_angle_gamma 90.00
loop_
_symmetry_equiv_pos_as_xyz
'x,y,z'
loop_
_atom_site_label
_atom_site_type_symbol
_atom_site_fract_x
_atom_site_fract_y
_atom_site_fract_z
_atom_site_occupancy
P1 P 0.5000 0.7535 0.7554 1
Y1 Y 0.5000 0.5000 0.0000 1
P2 P 0.0000 0.7503 0.2472 1
P3 P 0.0000 0.2497 0.7528 1
Ce1 Ce 0.0000 0.5000 0.5000 1
Pu1 Pu 0.0000 0.0000 0.0000 1
Ce2 Ce 0.5000 0.0000 0.5000 1
P4 P 0.5000 0.2465 0.2446 1
```

**Crystal system**: monoclinic
**Total moment**: 6.24 μB per formula unit
**Space group**: P2/m, No. 10
**Final energy**: -65.9 eV per formula unit
**ΔE_f**: -1117 kJ/mol of formula units


Crystalline CeMgZrZn at its relaxed geometry. Source: Alexandria, functional PBE-GGA.

The structure in CIF format:
```
data_CeMgZrZn
_symmetry_space_group_name_H-M 'P 1'
_symmetry_Int_Tables_number 1
_cell_length_a 5.0369
_cell_length_b 5.0369
_cell_length_c 5.0369
_cell_angle_alpha 60.00
_cell_angle_beta 60.00
_cell_angle_gamma 60.00
loop_
_symmetry_equiv_pos_as_xyz
'x,y,z'
loop_
_atom_site_label
_atom_site_type_symbol
_atom_site_fract_x
_atom_site_fract_y
_atom_site_fract_z
_atom_site_occupancy
Zn1 Zn 0.0000 0.0000 0.0000 1
Zr1 Zr 0.2500 0.2500 0.2500 1
Mg1 Mg 0.5000 0.5000 0.5000 1
Ce1 Ce 0.7500 0.7500 0.7500 1
```

**Crystal system**: cubic
**Total moment**: 0.61 μB per formula unit
**Space group**: F-43m, No. 216
**Final energy**: -17.3 eV per formula unit
**ΔE_f**: 8 kJ/mol of formula units


Crystalline Hf2HgPd6 at its relaxed geometry. Source: Alexandria, functional PBE-GGA.

The structure in CIF format:
```
data_Hf2HgPd6
_symmetry_space_group_name_H-M 'P 1'
_symmetry_Int_Tables_number 1
_cell_length_a 2.9988
_cell_length_b 7.6597
_cell_length_c 8.1470
_cell_angle_alpha 118.04
_cell_angle_beta 100.65
_cell_angle_gamma 90.00
loop_
_symmetry_equiv_pos_as_xyz
'x,y,z'
loop_
_atom_site_label
_atom_site_type_symbol
_atom_site_fract_x
_atom_site_fract_y
_atom_site_fract_z
_atom_site_occupancy
Hf1 Hf 0.6628 0.6636 0.3272 1
Pd1 Pd 0.8314 0.0266 0.6621 1
Pd2 Pd 0.5000 0.3160 0.0000 1
Pd3 Pd 0.1686 0.9734 0.3379 1
Pd4 Pd 0.5000 0.6840 0.0000 1
Pd5 Pd 0.1686 0.3645 0.3379 1
Hf2 Hf 0.3372 0.3364 0.6728 1
Pd6 Pd 0.8314 0.6355 0.6621 1
Hg1 Hg 0.0000 0.0000 0.0000 1
```

**Crystal system**: orthorhombic
**Total moment**: 0.00 μB per formula unit
**Space group**: Immm, No. 71
**Final energy**: -55.0 eV per formula unit
**ΔE_f**: -352 kJ/mol of formula units


Crystalline SrMgZnCd3 at its relaxed geometry. Source: Alexandria, functional PBE-GGA.

The structure in CIF format:
```
data_SrMgZnCd3
_symmetry_space_group_name_H-M 'P 1'
_symmetry_Int_Tables_number 1
_cell_length_a 6.6796
_cell_length_b 6.8174
_cell_length_c 7.6648
_cell_angle_alpha 116.41
_cell_angle_beta 90.00
_cell_angle_gamma 90.00
loop_
_symmetry_equiv_pos_as_xyz
'x,y,z'
loop_
_atom_site_label
_atom_site_type_symbol
_atom_site_fract_x
_atom_site_fract_y
_atom_site_fract_z
_atom_site_occupancy
Cd1 Cd 0.7500 0.8544 0.7088 1
Zn1 Zn 0.7500 0.0625 0.1249 1
Mg1 Mg 0.7500 0.6446 0.2893 1
Cd2 Cd 0.5000 0.7122 0.0000 1
Mg2 Mg 0.2500 0.3554 0.7107 1
Cd3 Cd 0.2500 0.1456 0.2912 1
Cd4 Cd 0.0000 0.2878 0.0000 1
Cd5 Cd 0.5000 0.2878 0.0000 1
Sr1 Sr 0.2500 0.7134 0.4268 1
Zn2 Zn 0.2500 0.9375 0.8751 1
Cd6 Cd 0.0000 0.7122 0.0000 1
Sr2 Sr 0.7500 0.2866 0.5732 1
```

**Crystal system**: orthorhombic
**Total moment**: 0.00 μB per formula unit
**Space group**: Cmcm, No. 63
**Final energy**: -7.8 eV per formula unit
**ΔE_f**: -52 kJ/mol of formula units


Crystalline CaNd2Th at its relaxed geometry. Source: Alexandria, functional PBE-GGA.

The structure in CIF format:
```
data_CaNd2Th
_symmetry_space_group_name_H-M 'P 1'
_symmetry_Int_Tables_number 1
_cell_length_a 3.6217
_cell_length_b 3.6217
_cell_length_c 12.8970
_cell_angle_alpha 81.93
_cell_angle_beta 81.93
_cell_angle_gamma 60.00
loop_
_symmetry_equiv_pos_as_xyz
'x,y,z'
loop_
_atom_site_label
_atom_site_type_symbol
_atom_site_fract_x
_atom_site_fract_y
_atom_site_fract_z
_atom_site_occupancy
Th1 Th 0.5000 0.5000 0.5000 1
Nd1 Nd 0.0919 0.0919 0.7242 1
Ca1 Ca 0.0000 0.0000 0.0000 1
Nd2 Nd 0.9081 0.9081 0.2758 1
```

**Crystal system**: trigonal
**Energy above the lowest structure with this stoichiometry**: 1.83 kcal/mol of atoms
**Total moment**: 0.00 μB per formula unit
**Space group**: R-3m, No. 166
**Final energy**: -18.5 eV per formula unit
**ΔE_f**: 44 kJ/mol of formula units


Crystalline BaMoAs at its relaxed geometry. Source: Alexandria, functional PBE-GGA.

The structure in CIF format:
```
data_BaMoAs
_symmetry_space_group_name_H-M 'P 1'
_symmetry_Int_Tables_number 1
_cell_length_a 5.3197
_cell_length_b 5.3197
_cell_length_c 5.3197
_cell_angle_alpha 60.00
_cell_angle_beta 60.00
_cell_angle_gamma 60.00
loop_
_symmetry_equiv_pos_as_xyz
'x,y,z'
loop_
_atom_site_label
_atom_site_type_symbol
_atom_site_fract_x
_atom_site_fract_y
_atom_site_fract_z
_atom_site_occupancy
Mo1 Mo 0.0000 0.0000 0.0000 1
Ba1 Ba 0.7500 0.7500 0.7500 1
As1 As 0.5000 0.5000 0.5000 1
```

**Crystal system**: cubic
**Energy above the lowest structure with this stoichiometry**: 39.55 kcal/mol of atoms
**Total moment**: 5.00 μB per formula unit
**Space group**: F-43m, No. 216
**Final energy**: -13.7 eV per formula unit
**ΔE_f**: 362 kJ/mol of formula units


Crystalline CeTiAl2 at its relaxed geometry. Source: Alexandria, functional PBE-GGA.

The structure in CIF format:
```
data_CeTiAl2
_symmetry_space_group_name_H-M 'P 1'
_symmetry_Int_Tables_number 1
_cell_length_a 4.5056
_cell_length_b 4.2121
_cell_length_c 4.2121
_cell_angle_alpha 90.00
_cell_angle_beta 90.00
_cell_angle_gamma 90.00
loop_
_symmetry_equiv_pos_as_xyz
'x,y,z'
loop_
_atom_site_label
_atom_site_type_symbol
_atom_site_fract_x
_atom_site_fract_y
_atom_site_fract_z
_atom_site_occupancy
Ce1 Ce 0.5000 0.5000 0.5000 1
Ti1 Ti 0.5000 0.0000 0.0000 1
Al1 Al 0.0000 0.0000 0.5000 1
Al2 Al 0.0000 0.5000 0.0000 1
```

**Crystal system**: tetragonal
**Energy above the lowest structure with this stoichiometry**: 4.32 kcal/mol of atoms
**Total moment**: 0.38 μB per formula unit
**Space group**: P4/mmm, No. 123
**Final energy**: -22.0 eV per formula unit
**ΔE_f**: -62 kJ/mol of formula units


Crystalline PrDy8Sc4 at its relaxed geometry. Source: Alexandria, functional PBE-GGA.

The structure in CIF format:
```
data_PrDy8Sc4
_symmetry_space_group_name_H-M 'P 1'
_symmetry_Int_Tables_number 1
_cell_length_a 7.1121
_cell_length_b 7.1121
_cell_length_c 9.7797
_cell_angle_alpha 90.00
_cell_angle_beta 111.32
_cell_angle_gamma 120.00
loop_
_symmetry_equiv_pos_as_xyz
'x,y,z'
loop_
_atom_site_label
_atom_site_type_symbol
_atom_site_fract_x
_atom_site_fract_y
_atom_site_fract_z
_atom_site_occupancy
Dy1 Dy 0.5623 0.7812 0.3435 1
Dy2 Dy 0.4377 0.2188 0.6565 1
Sc1 Sc 0.0000 0.5000 0.0000 1
Pr1 Pr 0.0000 0.5000 0.5000 1
Dy3 Dy 0.0435 0.2473 0.2908 1
Dy4 Dy 0.4947 0.2473 0.2908 1
Dy5 Dy 0.0435 0.7962 0.2908 1
Sc2 Sc 0.5000 0.5000 0.0000 1
Dy6 Dy 0.9565 0.2038 0.7092 1
Dy7 Dy 0.9565 0.7527 0.7092 1
Sc3 Sc 0.5000 0.0000 0.0000 1
Dy8 Dy 0.5053 0.7527 0.7092 1
Sc4 Sc 0.0000 0.0000 0.0000 1
```

**Crystal system**: trigonal
**Total moment**: 0.00 μB per formula unit
**Space group**: R-3m, No. 166
**Final energy**: -63.8 eV per formula unit
**ΔE_f**: 301 kJ/mol of formula units


Crystalline Zr4TcHg at its relaxed geometry. Source: Alexandria, functional PBE-GGA.

The structure in CIF format:
```
data_Zr4TcHg
_symmetry_space_group_name_H-M 'P 1'
_symmetry_Int_Tables_number 1
_cell_length_a 3.3076
_cell_length_b 3.3076
_cell_length_c 11.5601
_cell_angle_alpha 90.00
_cell_angle_beta 90.00
_cell_angle_gamma 90.00
loop_
_symmetry_equiv_pos_as_xyz
'x,y,z'
loop_
_atom_site_label
_atom_site_type_symbol
_atom_site_fract_x
_atom_site_fract_y
_atom_site_fract_z
_atom_site_occupancy
Tc1 Tc 0.0000 0.0000 0.0000 1
Hg1 Hg 0.5000 0.5000 0.5000 1
Zr1 Zr 0.4999 0.4999 0.8611 1
Zr2 Zr 0.0001 0.0001 0.3212 1
Zr3 Zr 0.9999 0.9999 0.6788 1
Zr4 Zr 0.5001 0.5001 0.1389 1
```

**Crystal system**: tetragonal
**Energy above the lowest structure with this stoichiometry**: 0.00 kcal/mol of atoms
**Total moment**: 0.00 μB per formula unit
**Space group**: P4/mmm, No. 123
**Final energy**: -46.2 eV per formula unit
**ΔE_f**: -130 kJ/mol of formula units


Crystalline Rb2PuCdBr6 at its relaxed geometry. Source: Alexandria, functional PBE-GGA.

The structure in CIF format:
```
data_Rb2PuCdBr6
_symmetry_space_group_name_H-M 'P 1'
_symmetry_Int_Tables_number 1
_cell_length_a 8.1748
_cell_length_b 8.2179
_cell_length_c 11.5954
_cell_angle_alpha 90.00
_cell_angle_beta 90.00
_cell_angle_gamma 90.00
loop_
_symmetry_equiv_pos_as_xyz
'x,y,z'
loop_
_atom_site_label
_atom_site_type_symbol
_atom_site_fract_x
_atom_site_fract_y
_atom_site_fract_z
_atom_site_occupancy
Br1 Br 0.7454 0.5082 0.0000 1
Pu1 Pu 0.5000 0.2523 0.0000 1
Br2 Br 0.5000 0.2459 0.2506 1
Rb1 Rb 0.5000 0.7575 0.2301 1
Br3 Br 0.5000 0.2459 0.7494 1
Br4 Br 0.0000 0.7541 0.2494 1
Br5 Br 0.0000 0.7541 0.7506 1
Pu2 Pu 0.0000 0.7477 0.5000 1
Br6 Br 0.7520 0.0015 0.5000 1
Cd1 Cd 0.0000 0.7509 0.0000 1
Br7 Br 0.7480 0.9985 0.0000 1
Br8 Br 0.2454 0.4918 0.5000 1
Rb2 Rb 0.5000 0.7575 0.7699 1
Cd2 Cd 0.5000 0.2491 0.5000 1
Rb3 Rb 0.0000 0.2425 0.7301 1
Br9 Br 0.2546 0.5082 0.0000 1
Br10 Br 0.7546 0.4918 0.5000 1
Br11 Br 0.2480 0.0015 0.5000 1
Rb4 Rb 0.0000 0.2425 0.2699 1
Br12 Br 0.2520 0.9985 0.0000 1
```

**Crystal system**: orthorhombic
**Total moment**: 5.89 μB per formula unit
**Space group**: Pmmn, No. 59
**Final energy**: -41.0 eV per formula unit
**Uncorrected formation energy**: -132.86 kJ/mol of atoms


Crystalline Sr2ZrHg at its relaxed geometry. Source: Alexandria, functional PBE-GGA.

The structure in CIF format:
```
data_Sr2ZrHg
_symmetry_space_group_name_H-M 'P 1'
_symmetry_Int_Tables_number 1
_cell_length_a 3.7582
_cell_length_b 3.7582
_cell_length_c 9.7358
_cell_angle_alpha 90.00
_cell_angle_beta 90.00
_cell_angle_gamma 89.99
loop_
_symmetry_equiv_pos_as_xyz
'x,y,z'
loop_
_atom_site_label
_atom_site_type_symbol
_atom_site_fract_x
_atom_site_fract_y
_atom_site_fract_z
_atom_site_occupancy
Sr1 Sr 0.5000 0.5000 0.2998 1
Zr1 Zr 0.0000 0.0000 0.5594 1
Hg1 Hg 0.5000 0.5000 0.7044 1
Sr2 Sr 0.0000 0.0000 0.9364 1
```

**Crystal system**: tetragonal
**Total moment**: 0.01 μB per formula unit
**Space group**: P4mm, No. 99
**Final energy**: -12.0 eV per formula unit
**ΔE_f**: 23 kJ/mol of formula units


Crystalline Sr2TcTe at its relaxed geometry. Source: Alexandria, functional PBE-GGA.

The structure in CIF format:
```
data_Sr2TcTe
_symmetry_space_group_name_H-M 'P 1'
_symmetry_Int_Tables_number 1
_cell_length_a 3.9694
_cell_length_b 3.9987
_cell_length_c 8.7559
_cell_angle_alpha 62.80
_cell_angle_beta 90.00
_cell_angle_gamma 90.00
loop_
_symmetry_equiv_pos_as_xyz
'x,y,z'
loop_
_atom_site_label
_atom_site_type_symbol
_atom_site_fract_x
_atom_site_fract_y
_atom_site_fract_z
_atom_site_occupancy
Te1 Te 0.5000 0.7500 0.7500 1
Sr1 Sr 0.0000 0.0016 0.9984 1
Tc1 Tc 0.5000 0.2500 0.2500 1
Sr2 Sr 0.0000 0.4984 0.5016 1
```

**Crystal system**: orthorhombic
**Total moment**: 2.68 μB per formula unit
**Space group**: Pmmm, No. 47
**Final energy**: -16.9 eV per formula unit
**Uncorrected formation energy**: -1.05 kJ/mol of atoms


Crystalline KDy3Er2Te6 at its relaxed geometry. Source: Alexandria, functional PBE-GGA.

The structure in CIF format:
```
data_KDy3Er2Te6
_symmetry_space_group_name_H-M 'P 1'
_symmetry_Int_Tables_number 1
_cell_length_a 4.3605
_cell_length_b 8.9523
_cell_length_c 9.8759
_cell_angle_alpha 103.50
_cell_angle_beta 102.75
_cell_angle_gamma 90.00
loop_
_symmetry_equiv_pos_as_xyz
'x,y,z'
loop_
_atom_site_label
_atom_site_type_symbol
_atom_site_fract_x
_atom_site_fract_y
_atom_site_fract_z
_atom_site_occupancy
Er1 Er 0.1684 0.3428 0.3368 1
Dy1 Dy 0.8409 0.1827 0.6817 1
Te1 Te 0.6755 0.0880 0.3510 1
Te2 Te 0.0049 0.2657 0.0098 1
Dy2 Dy 0.1591 0.8173 0.3183 1
Te3 Te 0.3333 0.4194 0.6666 1
Te4 Te 0.9951 0.7343 0.9902 1
Te5 Te 0.3245 0.9120 0.6490 1
Er2 Er 0.8316 0.6572 0.6632 1
Te6 Te 0.6667 0.5806 0.3334 1
Dy3 Dy 0.5000 0.5000 0.0000 1
K1 K 0.5000 0.0000 0.0000 1
```

**Crystal system**: monoclinic
**Total moment**: 0.00 μB per formula unit
**Space group**: C2/m, No. 12
**Final energy**: -58.0 eV per formula unit
**Uncorrected formation energy**: -121.95 kJ/mol of atoms


Crystalline Ba3Li2HfSe6 at its relaxed geometry. Source: Alexandria, functional PBE-GGA.

The structure in CIF format:
```
data_Ba3Li2HfSe6
_symmetry_space_group_name_H-M 'P 1'
_symmetry_Int_Tables_number 1
_cell_length_a 7.5595
_cell_length_b 7.5595
_cell_length_c 8.1108
_cell_angle_alpha 90.00
_cell_angle_beta 90.00
_cell_angle_gamma 120.00
loop_
_symmetry_equiv_pos_as_xyz
'x,y,z'
loop_
_atom_site_label
_atom_site_type_symbol
_atom_site_fract_x
_atom_site_fract_y
_atom_site_fract_z
_atom_site_occupancy
Se1 Se 0.1640 0.8360 0.3025 1
Se2 Se 0.8360 0.6721 0.6975 1
Se3 Se 0.6721 0.8360 0.3025 1
Se4 Se 0.3279 0.1640 0.6975 1
Ba1 Ba 0.6667 0.3333 0.3916 1
Li1 Li 0.3333 0.6667 0.1884 1
Se5 Se 0.8360 0.1640 0.6975 1
Hf1 Hf 0.0000 0.0000 0.5000 1
Ba2 Ba 0.3333 0.6667 0.6084 1
Li2 Li 0.6667 0.3333 0.8116 1
Se6 Se 0.1640 0.3279 0.3025 1
Ba3 Ba 0.0000 0.0000 0.0000 1
```

**Crystal system**: trigonal
**Total moment**: 0.00 μB per formula unit
**Space group**: P-3m1, No. 164
**Final energy**: -58.7 eV per formula unit
**Uncorrected formation energy**: -146.31 kJ/mol of atoms